(1)
DFT (PBE-GGA) results for AcMgCd after structural relaxation.

CIF file:
```
data_AcMgCd
_cell_length_a 5.2667
_cell_length_b 5.2667
_cell_length_c 3.7940
_cell_angle_alpha 90.00
_cell_angle_beta 90.00
_cell_angle_gamma 120.00
_space_group_name_H-M_alt 'P -6 m 2'
_space_group_IT_number 187
_space_group_name_Hall 'P -6 2'
loop_
_atom_site_label
_atom_site_type_symbol
_atom_site_fract_x
_atom_site_fract_y
_atom_site_fract_z
Ac1 Ac 0.0000 0.0000 0.0000
Mg1 Mg 0.6667 0.3333 0.5000
Cd1 Cd 0.3333 0.6667 0.5000
```

Results
DOS(E_F) (states/eV per cell): 3.15
Total energy (Ry per atom): -0.178
Formation energy from the elements (meV/atom): -216
Volume (Å³/cell): 91
M_tot (μB per formula unit): 0.00

=====

(2)
DFT (PBE-GGA) results for Zn2Cu2I after structural relaxation.

CIF file:
```
data_Zn2Cu2I
_cell_length_a 7.095
_cell_length_b 7.095
_cell_length_c 3.593
_cell_angle_alpha 90.00
_cell_angle_beta 90.00
_cell_angle_gamma 90.00
_space_group_name_H-M_alt 'P 4/m b m'
_space_group_IT_number 127
_space_group_name_Hall '-P 4 2ab'
loop_
_atom_site_label
_atom_site_type_symbol
_atom_site_fract_x
_atom_site_fract_y
_atom_site_fract_z
Zn1 Zn 0.146 0.354 0.000
Cu1 Cu 0.129 0.629 0.500
I1 I 0.000 0.000 0.500
```

Results
DOS(E_F) (states/eV per cell): 4.16
Total energy (Ry per atom): -0.158
Volume (Å³/cell): 181
M_tot (μB per formula unit): 0.00

=====

(3)
DFT (PBE-GGA) results for Li2PrPbAu2 after structural relaxation.

CIF file:
```
data_Li2PrPbAu2
_cell_length_a 4.6817
_cell_length_b 4.6817
_cell_length_c 6.7809
_cell_angle_alpha 90.00
_cell_angle_beta 90.00
_cell_angle_gamma 120.00
_space_group_name_H-M_alt 'P -3 m 1'
_space_group_IT_number 164
_space_group_name_Hall '-P 3 2"'
loop_
_atom_site_label
_atom_site_type_symbol
_atom_site_fract_x
_atom_site_fract_y
_atom_site_fract_z
Li1 Li 0.3333 0.6667 0.1721
Pr1 Pr 0.0000 0.0000 0.5000
Pb1 Pb 0.0000 0.0000 0.0000
Au1 Au 0.3333 0.6667 0.7496
```

Results
DOS(E_F) (states/eV per cell): 2.42
Total energy (Ry per atom): -0.272
Formation energy from the elements (meV/atom): -562
Volume (Å³/cell): 129
M_tot (μB per formula unit): 0.00

=====

(4)
DFT (PBE-GGA) results for HoTl3Sb2O9 after structural relaxation.

CIF file:
```
data_HoTl3Sb2O9
_cell_length_a 5.8580
_cell_length_b 5.8580
_cell_length_c 7.2549
_cell_angle_alpha 90.00
_cell_angle_beta 90.00
_cell_angle_gamma 120.00
_space_group_name_H-M_alt 'P -3 m 1'
_space_group_IT_number 164
_space_group_name_Hall '-P 3 2"'
loop_
_atom_site_label
_atom_site_type_symbol
_atom_site_fract_x
_atom_site_fract_y
_atom_site_fract_z
Ho1 Ho 0.0000 0.0000 0.0000
Tl1 Tl 0.0000 0.0000 0.5000
Tl2 Tl 0.3333 0.6667 0.1597
Sb1 Sb 0.3333 0.6667 0.6607
O1 O 0.0000 0.5000 0.5000
O2 O 0.1719 0.3438 0.8114
```

Results
DOS(E_F) (states/eV per cell): 7.50
Total energy (Ry per atom): -0.417
Volume (Å³/cell): 216
M_tot (μB per formula unit): 0.00

=====

(5)
DFT (PBE-GGA) results for Y2ErBi after structural relaxation.

CIF file:
```
data_Y2ErBi
_cell_length_a 4.896
_cell_length_b 4.896
_cell_length_c 4.813
_cell_angle_alpha 90.00
_cell_angle_beta 90.00
_cell_angle_gamma 90.00
_space_group_name_H-M_alt 'P 4/m m m'
_space_group_IT_number 123
_space_group_name_Hall '-P 4 2'
loop_
_atom_site_label
_atom_site_type_symbol
_atom_site_fract_x
_atom_site_fract_y
_atom_site_fract_z
Y1 Y 0.000 0.500 0.000
Er1 Er 0.000 0.000 0.500
Bi1 Bi 0.500 0.500 0.500
```

Results
DOS(E_F) (states/eV per cell): 6.60
Total energy (Ry per atom): -0.416
Formation energy from the elements (meV/atom): -322
Volume (Å³/cell): 115
M_tot (μB per formula unit): 0.08

=====

(6)
DFT (PBE-GGA) results for MnTcSN2 after structural relaxation.

CIF file:
```
data_MnTcSN2
_cell_length_a 3.795
_cell_length_b 3.795
_cell_length_c 5.175
_cell_angle_alpha 90.00
_cell_angle_beta 90.00
_cell_angle_gamma 90.00
_space_group_name_H-M_alt 'P 4/m m m'
_space_group_IT_number 123
_space_group_name_Hall '-P 4 2'
loop_
_atom_site_label
_atom_site_type_symbol
_atom_site_fract_x
_atom_site_fract_y
_atom_site_fract_z
Mn1 Mn 0.000 0.000 0.000
Tc1 Tc 0.500 0.500 0.500
S1 S 0.500 0.500 0.000
N1 N 0.000 0.500 0.500
```

Results
DOS(E_F) (states/eV per cell): 2.59
Total energy (Ry per atom): -0.558
Volume (Å³/cell): 75
M_tot (μB per formula unit): 4.45

=====

(7)
DFT (PBE-GGA) results for ScPa2Nb after structural relaxation.

CIF file:
```
data_ScPa2Nb
_cell_length_a 7.204
_cell_length_b 7.204
_cell_length_c 7.204
_cell_angle_alpha 90.00
_cell_angle_beta 90.00
_cell_angle_gamma 90.00
_space_group_name_H-M_alt 'F m -3 m'
_space_group_IT_number 225
_space_group_name_Hall '-F 4 2 3'
loop_
_atom_site_label
_atom_site_type_symbol
_atom_site_fract_x
_atom_site_fract_y
_atom_site_fract_z
Sc1 Sc 0.000 0.000 0.000
Pa1 Pa 0.250 0.250 0.250
Nb1 Nb 0.000 0.000 0.500
```

Results
DOS(E_F) (states/eV per cell): 48.91
Total energy (Ry per atom): -0.625
Formation energy from the elements (meV/atom): 342
Volume (Å³/cell): 374
M_tot (μB per formula unit): 0.01